Record 1
First-principles (GGA-PBE) data for a relaxed MnReNi2 crystal, as listed in Alexandria via LeMat-Bulk.

Summary:
Relative energy among the computed polymorphs in meV per atom: 27.1
Space group: P4/mmm, No. 123
Raw total energy in eV per atom: -8.26
Mass density in g cm⁻³: 11.9
Energy relative to the elements in eV/atom: 0.03

a b c (Å): 2.630 2.630 7.259
angles (deg): 90.00 90.00 90.00
Sites, in units of the cell vectors:
1 Mn 0.000 0.000 0.000
2 Re 0.000 0.000 0.500
3 Ni 0.500 0.500 0.245
4 Ni 0.500 0.500 0.755

Record 2
First-principles (GGA-PBE) data for a relaxed CaMo2Cl crystal, as listed in Alexandria via LeMat-Bulk.

Summary:
Relative energy among the computed polymorphs in meV per atom: 365.5
Space group: I-42d, No. 122
Formation energy from raw total energies in eV/f.u.: 0.9
Raw total energy in eV per atom: -6.16
Mass density in g cm⁻³: 5.0

a b c (Å): 13.392 13.392 13.392
angles (deg): 164.21 164.21 22.40
Sites, in units of the cell vectors:
1 Ca 0.000 0.000 0.000
2 Ca 0.750 0.250 0.500
3 Mo 0.097 0.125 0.472
4 Mo 0.375 0.903 0.028
5 Mo 0.653 0.625 0.528
6 Mo 0.875 0.347 0.972
7 Cl 0.250 0.750 0.500
8 Cl 0.500 0.500 0.000

Record 3
First-principles (GGA-PBE) data for a relaxed Ce2MgRh crystal, as listed in Alexandria via LeMat-Bulk.

Summary:
Relative energy among the computed polymorphs in meV per atom: 0.0
Space group: P4/mmm, No. 123
Raw total energy in eV per atom: -5.54
Mass density in g cm⁻³: 7.1
Energy relative to the elements in eV/atom: -0.33

a b c (Å): 3.733 3.733 6.835
angles (deg): 90.00 90.00 90.00
Sites, in units of the cell vectors:
1 Ce 0.000 0.000 0.208
2 Ce 0.000 0.000 0.792
3 Mg 0.500 0.500 0.500
4 Rh 0.500 0.500 0.000

- Which formula does entry 3 have?
  Ce2MgRh

- What is the relative energy among the computed polymorphs in the first record?
  27.1 meV per atom

- The highest relative energy among the computed polymorphs belongs to which entry?
  CaMo2Cl

- Among the records above, which one has the lowest raw total energy?
  MnReNi2